Entry 1:
Density functional theory data (PBE-GGA) for an optimized crystal structure of La2In2GaRh5.

The calculation puts the uncorrected energy at -5.964 eV/atom. The calculation puts the total moment at 0.00 μB/f.u.

It has space group P4/mbm (No. 127), with a = 10.435 Å, b = 10.435 Å, c = 3.589 Å, α = 90.00°, β = 90.00° and γ = 90.00°. The asymmetric unit holds La at (0.169, 0.331, 0.000), In at (0.132, 0.632, 0.000), Ga at (0.000, 0.000, 0.000), Rh at (0.000, 0.500, 0.500) and Rh at (0.050, 0.809, 0.500).


Entry 2:
Density functional theory data (PBE-GGA) for an optimized crystal structure of LaInGa2Rh.

The calculation puts the uncorrected energy at -4.649 eV/atom. The calculation puts the total moment at 0.00 μB/f.u.

It has space group P4/mmm (No. 123), with a = 4.806 Å, b = 4.806 Å, c = 5.088 Å, α = 90.00°, β = 90.00° and γ = 90.00°. The asymmetric unit holds La at (0.000, 0.000, 0.000), In at (0.500, 0.500, 0.000), Ga at (0.000, 0.500, 0.500) and Rh at (0.500, 0.500, 0.500).


Entry 3:
Density functional theory data (PBE-GGA) for an optimized crystal structure of La2InGaRu.

The calculation puts the uncorrected energy at -5.350 eV/atom. The calculation puts the total moment at 0.00 μB/f.u.

It has space group P4/mmm (No. 123), with a = 5.416 Å, b = 5.416 Å, c = 4.919 Å, α = 90.00°, β = 90.00° and γ = 90.00°. The asymmetric unit holds La at (0.000, 0.500, 0.000), In at (0.000, 0.000, 0.500), Ga at (0.500, 0.500, 0.500) and Ru at (0.500, 0.500, 0.000).


Entry 4:
Density functional theory data (PBE-GGA) for an optimized crystal structure of LaIn2GaSe4.

The calculation puts the total moment at 0.00 μB/f.u. The calculation puts the raw formation energy at -6.45 eV per formula unit.

It has space group Imma (No. 74), with a = 8.532 Å, b = 8.639 Å, c = 12.284 Å, α = 90.00°, β = 90.00° and γ = 90.00°. The asymmetric unit holds La at (0.000, 0.000, 0.000), In at (0.000, 0.000, 0.500), In at (0.250, 0.250, 0.250), Ga at (0.250, 0.250, 0.750), Se at (0.000, 0.019, 0.247) and Se at (0.240, 0.250, 0.006).


Entry 5:
Density functional theory data (PBE-GGA) for an optimized crystal structure of La2InGaSe5.

The calculation puts the total moment at 0.00 μB/f.u. The calculation puts the raw formation energy at -11.73 eV per formula unit.

It has space group Cmc2_1 (No. 36), with a = 4.053 Å, b = 22.483 Å, c = 11.866 Å, α = 90.00°, β = 90.00° and γ = 90.00°. The asymmetric unit holds La at (0.000, 0.085, 0.000), La at (0.000, 0.112, 0.629), In at (0.000, 0.222, 0.339), Ga at (0.000, 0.438, 0.764), Se at (0.000, 0.044, 0.380), Se at (0.000, 0.314, 0.022), Se at (0.000, 0.349, 0.652), Se at (0.000, 0.379, 0.327) and Se at (0.000, 0.494, 0.101).


Entry 6:
Density functional theory data (PBE-GGA) for an optimized crystal structure of LaSmInGa.

The calculation puts the uncorrected energy at -4.363 eV/atom. The calculation puts the total moment at 0.00 μB/f.u.

It has space group F-43m (No. 216), with a = 7.627 Å, b = 7.627 Å, c = 7.627 Å, α = 90.00°, β = 90.00° and γ = 90.00°. The asymmetric unit holds La at (0.000, 0.000, 0.000), Sm at (0.000, 0.000, 0.500), In at (0.250, 0.250, 0.750) and Ga at (0.250, 0.250, 0.250).


Entry 7:
Density functional theory data (PBE-GGA) for an optimized crystal structure of LaSmInGa.

The calculation puts the uncorrected energy at -4.390 eV/atom. The calculation puts the total moment at 0.00 μB/f.u.

It has space group P4mm (No. 99), with a = 3.772 Å, b = 3.772 Å, c = 7.727 Å, α = 90.00°, β = 90.00° and γ = 90.00°. The asymmetric unit holds La at (0.000, 0.000, 0.000), Sm at (0.000, 0.000, 0.472), In at (0.500, 0.500, 0.723) and Ga at (0.500, 0.500, 0.249).


Entry 8:
Density functional theory data (PBE-GGA) for an optimized crystal structure of La2Sm2InGa4.

The calculation puts the uncorrected energy at -4.055 eV/atom. The calculation puts the total moment at 0.00 μB/f.u.

It has space group I4/mmm (No. 139), with a = 7.245 Å, b = 7.245 Å, c = 9.386 Å, α = 90.00°, β = 90.00° and γ = 90.00°. The asymmetric unit holds La at (0.000, 0.500, 0.250), Sm at (0.000, 0.000, 0.183), In at (0.000, 0.000, 0.500) and Ga at (0.241, 0.241, 0.000).


Entry 9:
Density functional theory data (PBE-GGA) for an optimized crystal structure of LaInGaSn.

The calculation puts the uncorrected energy at -4.205 eV/atom. The calculation puts the total moment at 0.00 μB/f.u.

It has space group Pmmm (No. 47), with a = 4.531 Å, b = 4.680 Å, c = 4.866 Å, α = 90.00°, β = 90.00° and γ = 90.00°. The asymmetric unit holds La at (0.000, 0.000, 0.000), In at (0.000, 0.500, 0.500), Ga at (0.500, 0.500, 0.000) and Sn at (0.500, 0.000, 0.500).


Entry 10:
Density functional theory data (PBE-GGA) for an optimized crystal structure of SrLa2InGa.

The calculation puts the uncorrected energy at -3.147 eV/atom. The calculation puts the total moment at 1.61 μB/f.u.

It has space group P4/mmm (No. 123), with a = 6.038 Å, b = 6.038 Å, c = 6.168 Å, α = 90.00°, β = 90.00° and γ = 90.00°. The asymmetric unit holds Sr at (0.000, 0.000, 0.000), La at (0.000, 0.500, 0.500), In at (0.000, 0.000, 0.500) and Ga at (0.500, 0.500, 0.000).


Entry 11:
Density functional theory data (PBE-GGA) for an optimized crystal structure of SrLaInGa.

The calculation puts the uncorrected energy at -3.514 eV/atom. The calculation puts the total moment at 0.00 μB/f.u.

It has space group F-43m (No. 216), with a = 7.857 Å, b = 7.857 Å, c = 7.857 Å, α = 90.00°, β = 90.00° and γ = 90.00°. The asymmetric unit holds Sr at (0.000, 0.000, 0.000), La at (0.000, 0.000, 0.500), In at (0.250, 0.250, 0.750) and Ga at (0.250, 0.250, 0.250).


Entry 12:
Density functional theory data (PBE-GGA) for an optimized crystal structure of LaTlInGa.

The calculation puts the uncorrected energy at -3.568 eV/atom. The calculation puts the total moment at 0.00 μB/f.u.

It has space group F-43m (No. 216), with a = 7.508 Å, b = 7.508 Å, c = 7.508 Å, α = 90.00°, β = 90.00° and γ = 90.00°. The asymmetric unit holds La at (0.000, 0.000, 0.000), Tl at (0.250, 0.250, 0.250), In at (0.000, 0.000, 0.500) and Ga at (0.250, 0.250, 0.750).